Record 1
An optimized crystal structure of Y4Ir3. Source: the Alexandria database, functional GGA-PBE.

CIF file:
```
data_Y4Ir3
_symmetry_space_group_name_H-M 'P 1'
_symmetry_Int_Tables_number 1
_cell_length_a 8.3965
_cell_length_b 8.3965
_cell_length_c 8.3965
_cell_angle_alpha 33.38
_cell_angle_beta 33.38
_cell_angle_gamma 33.38
loop_
_symmetry_equiv_pos_as_xyz
'x,y,z'
loop_
_atom_site_label
_atom_site_fract_x
_atom_site_fract_y
_atom_site_fract_z
Y1 0.1237 0.1237 0.1237
Y2 0.3744 0.3744 0.3744
Y3 0.6256 0.6256 0.6256
Y4 0.8763 0.8763 0.8763
Ir1 0.2500 0.2500 0.2500
Ir2 0.5000 0.5000 0.5000
Ir3 0.7500 0.7500 0.7500
```

The volume is 22.790 Å³/atom. As for the total energy: -0.6080 Ry per atom. Its offset from the most stable computed form is 0 meV per atom. Its space group is R-3m (166).



Record 2
An optimized crystal structure of YIr5. Source: the Alexandria database, functional GGA-PBE.

CIF file:
```
data_YIr5
_symmetry_space_group_name_H-M 'P 1'
_symmetry_Int_Tables_number 1
_cell_length_a 2.8214
_cell_length_b 2.8214
_cell_length_c 12.0492
_cell_angle_alpha 90.00
_cell_angle_beta 90.00
_cell_angle_gamma 90.00
loop_
_symmetry_equiv_pos_as_xyz
'x,y,z'
loop_
_atom_site_label
_atom_site_fract_x
_atom_site_fract_y
_atom_site_fract_z
Y1 0.0000 0.0000 0.0000
Ir1 0.0000 0.0000 0.3417
Ir2 0.0000 0.0000 0.6583
Ir3 0.5000 0.5000 0.1891
Ir4 0.5000 0.5000 0.5000
Ir5 0.5000 0.5000 0.8109
```

The volume is 15.986 Å³/atom. As for the total energy: -0.6240 Ry per atom. Its space group is P4/mmm (123).



Record 3
An optimized crystal structure of Y2ZnIr2. Source: the Alexandria database, functional GGA-PBE.

CIF file:
```
data_Y2ZnIr2
_symmetry_space_group_name_H-M 'P 1'
_symmetry_Int_Tables_number 1
_cell_length_a 5.7097
_cell_length_b 5.7097
_cell_length_c 7.8707
_cell_angle_alpha 104.14
_cell_angle_beta 104.14
_cell_angle_gamma 56.71
loop_
_symmetry_equiv_pos_as_xyz
'x,y,z'
loop_
_atom_site_label
_atom_site_fract_x
_atom_site_fract_y
_atom_site_fract_z
Y1 0.0069 0.7032 0.8534
Y2 0.2968 0.9931 0.6466
Y3 0.7032 0.0069 0.3534
Y4 0.9931 0.2968 0.1466
Zn1 0.3623 0.6377 0.2500
Zn2 0.6377 0.3623 0.7500
Ir1 0.2120 0.5130 0.4862
Ir2 0.4870 0.7880 0.0138
Ir3 0.5130 0.2120 0.9862
Ir4 0.7880 0.4870 0.5138
```

The volume is 20.606 Å³/atom. As for the total energy: -0.5244 Ry per atom. Its space group is C2/c (15).



Record 4
An optimized crystal structure of Y6ZnIr5. Source: the Alexandria database, functional GGA-PBE.

CIF file:
```
data_Y6ZnIr5
_symmetry_space_group_name_H-M 'P 1'
_symmetry_Int_Tables_number 1
_cell_length_a 8.4927
_cell_length_b 8.4927
_cell_length_c 8.4927
_cell_angle_alpha 146.49
_cell_angle_beta 132.28
_cell_angle_gamma 59.57
loop_
_symmetry_equiv_pos_as_xyz
'x,y,z'
loop_
_atom_site_label
_atom_site_fract_x
_atom_site_fract_y
_atom_site_fract_z
Y1 0.0777 0.3307 0.7470
Y2 0.2436 0.0000 0.2436
Y3 0.4162 0.6693 0.7470
Y4 0.5838 0.3307 0.2530
Y5 0.7564 0.0000 0.7564
Y6 0.9223 0.6693 0.2530
Zn1 0.5000 0.5000 0.0000
Ir1 0.0000 0.5000 0.5000
Ir2 0.1671 0.1671 0.0000
Ir3 0.3362 0.8362 0.5000
Ir4 0.6638 0.1638 0.5000
Ir5 0.8329 0.8329 0.0000
```

The volume is 20.666 Å³/atom. As for the total energy: -0.5709 Ry per atom. Its space group is Immm (71).



Record 5
An optimized crystal structure of YZn12Ir4. Source: the Alexandria database, functional GGA-PBE.

CIF file:
```
data_YZn12Ir4
_symmetry_space_group_name_H-M 'P 1'
_symmetry_Int_Tables_number 1
_cell_length_a 7.5160
_cell_length_b 7.5160
_cell_length_c 7.5160
_cell_angle_alpha 109.47
_cell_angle_beta 109.47
_cell_angle_gamma 109.47
loop_
_symmetry_equiv_pos_as_xyz
'x,y,z'
loop_
_atom_site_label
_atom_site_fract_x
_atom_site_fract_y
_atom_site_fract_z
Y1 0.0000 0.0000 0.0000
Zn1 0.1593 0.3502 0.5095
Zn2 0.1593 0.6498 0.8092
Zn3 0.1908 0.8407 0.3502
Zn4 0.3502 0.1908 0.8407
Zn5 0.3502 0.5095 0.1593
Zn6 0.4905 0.8407 0.6498
Zn7 0.5095 0.1593 0.3502
Zn8 0.6498 0.4905 0.8407
Zn9 0.6498 0.8092 0.1593
Zn10 0.8092 0.1593 0.6498
Zn11 0.8407 0.3502 0.1908
Zn12 0.8407 0.6498 0.4905
Ir1 0.0000 0.0000 0.5000
Ir2 0.0000 0.5000 0.0000
Ir3 0.5000 0.0000 0.0000
Ir4 0.5000 0.5000 0.5000
```

The volume is 19.226 Å³/atom. As for the total energy: -0.2352 Ry per atom. Its space group is Im-3 (204).



Record 6
An optimized crystal structure of Y8Zn2Ir. Source: the Alexandria database, functional GGA-PBE.

CIF file:
```
data_Y8Zn2Ir
_symmetry_space_group_name_H-M 'P 1'
_symmetry_Int_Tables_number 1
_cell_length_a 8.8088
_cell_length_b 8.8088
_cell_length_c 6.1631
_cell_angle_alpha 103.45
_cell_angle_beta 103.45
_cell_angle_gamma 129.28
loop_
_symmetry_equiv_pos_as_xyz
'x,y,z'
loop_
_atom_site_label
_atom_site_fract_x
_atom_site_fract_y
_atom_site_fract_z
Y1 0.0000 0.0000 0.0000
Y2 0.0771 0.4662 0.1326
Y3 0.1144 0.8776 0.4756
Y4 0.4254 0.6556 0.8190
Y5 0.4662 0.0771 0.1326
Y6 0.5549 0.5549 0.3520
Y7 0.6556 0.4254 0.8190
Y8 0.8776 0.1144 0.4756
Zn1 0.5468 0.9899 0.6454
Zn2 0.9899 0.5468 0.6454
Ir1 0.2666 0.2666 0.8388
```

The volume is 28.261 Å³/atom. As for the total energy: -0.4381 Ry per atom. Its offset from the most stable computed form is 73 meV per atom. Its space group is Cm (8).



Record 7
An optimized crystal structure of YZnIr2. Source: the Alexandria database, functional GGA-PBE.

CIF file:
```
data_YZnIr2
_symmetry_space_group_name_H-M 'P 1'
_symmetry_Int_Tables_number 1
_cell_length_a 4.7647
_cell_length_b 4.7647
_cell_length_c 5.1195
_cell_angle_alpha 103.79
_cell_angle_beta 103.79
_cell_angle_gamma 38.76
loop_
_symmetry_equiv_pos_as_xyz
'x,y,z'
loop_
_atom_site_label
_atom_site_fract_x
_atom_site_fract_y
_atom_site_fract_z
Y1 0.0000 0.0000 0.0000
Zn1 0.5000 0.5000 0.5000
Ir1 0.2410 0.2410 0.7042
Ir2 0.7590 0.7590 0.2958
```

The volume is 17.599 Å³/atom. As for the total energy: -0.4888 Ry per atom. Its space group is C2/m (12).



Record 8
An optimized crystal structure of YZnIr2. Source: the Alexandria database, functional GGA-PBE.

CIF file:
```
data_YZnIr2
_symmetry_space_group_name_H-M 'P 1'
_symmetry_Int_Tables_number 1
_cell_length_a 2.9892
_cell_length_b 4.4816
_cell_length_c 5.3185
_cell_angle_alpha 90.00
_cell_angle_beta 104.39
_cell_angle_gamma 90.00
loop_
_symmetry_equiv_pos_as_xyz
'x,y,z'
loop_
_atom_site_label
_atom_site_fract_x
_atom_site_fract_y
_atom_site_fract_z
Y1 0.0000 0.0000 0.0000
Zn1 0.6043 0.5000 0.2545
Ir1 0.2859 0.5000 0.6992
Ir2 0.6265 0.0000 0.4877
```

The volume is 17.253 Å³/atom. As for the total energy: -0.4853 Ry per atom. Its space group is Pm (6).



Record 9
An optimized crystal structure of YZn2Ir2. Source: the Alexandria database, functional GGA-PBE.

CIF file:
```
data_YZn2Ir2
_symmetry_space_group_name_H-M 'P 1'
_symmetry_Int_Tables_number 1
_cell_length_a 7.3513
_cell_length_b 7.3513
_cell_length_c 3.0497
_cell_angle_alpha 90.00
_cell_angle_beta 90.00
_cell_angle_gamma 90.00
loop_
_symmetry_equiv_pos_as_xyz
'x,y,z'
loop_
_atom_site_label
_atom_site_fract_x
_atom_site_fract_y
_atom_site_fract_z
Y1 0.0000 0.0000 0.0000
Y2 0.5000 0.5000 0.0000
Zn1 0.1194 0.3806 0.0000
Zn2 0.3806 0.8806 0.0000
Zn3 0.6194 0.1194 0.0000
Zn4 0.8806 0.6194 0.0000
Ir1 0.1771 0.6771 0.5000
Ir2 0.3229 0.1771 0.5000
Ir3 0.6771 0.8229 0.5000
Ir4 0.8229 0.3229 0.5000
```

The volume is 16.481 Å³/atom. As for the total energy: -0.4242 Ry per atom. Its offset from the most stable computed form is 12 meV per atom. Its space group is P4/mbm (127).



Record 10
An optimized crystal structure of YZnIr. Source: the Alexandria database, functional GGA-PBE.

CIF file:
```
data_YZnIr
_symmetry_space_group_name_H-M 'P 1'
_symmetry_Int_Tables_number 1
_cell_length_a 5.3855
_cell_length_b 5.3855
_cell_length_c 5.5528
_cell_angle_alpha 90.00
_cell_angle_beta 90.00
_cell_angle_gamma 134.11
loop_
_symmetry_equiv_pos_as_xyz
'x,y,z'
loop_
_atom_site_label
_atom_site_fract_x
_atom_site_fract_y
_atom_site_fract_z
Y1 0.2111 0.7889 0.7500
Y2 0.7889 0.2111 0.2500
Zn1 0.5000 0.5000 0.0000
Zn2 0.5000 0.5000 0.5000
Ir1 0.0870 0.9130 0.2500
Ir2 0.9130 0.0870 0.7500
```

The volume is 19.271 Å³/atom. As for the total energy: -0.4560 Ry per atom. Its space group is Cmcm (63).



Record 11
An optimized crystal structure of Y3Zn3Ir2. Source: the Alexandria database, functional GGA-PBE.

CIF file:
```
data_Y3Zn3Ir2
_symmetry_space_group_name_H-M 'P 1'
_symmetry_Int_Tables_number 1
_cell_length_a 7.4677
_cell_length_b 16.0259
_cell_length_c 5.5325
_cell_angle_alpha 90.00
_cell_angle_beta 90.00
_cell_angle_gamma 90.00
loop_
_symmetry_equiv_pos_as_xyz
'x,y,z'
loop_
_atom_site_label
_atom_site_fract_x
_atom_site_fract_y
_atom_site_fract_z
Y1 0.0365 0.1076 0.1130
Y2 0.0365 0.3924 0.1130
Y3 0.1660 0.2500 0.6429
Y4 0.3340 0.7500 0.1429
Y5 0.4635 0.6076 0.6130
Y6 0.4635 0.8924 0.6130
Y7 0.5365 0.1076 0.3870
Y8 0.5365 0.3924 0.3870
Y9 0.6660 0.2500 0.8571
Y10 0.8340 0.7500 0.3571
Y11 0.9635 0.6076 0.8870
Y12 0.9635 0.8924 0.8870
Zn1 0.1727 0.0310 0.5978
Zn2 0.1727 0.4690 0.5978
Zn3 0.1762 0.7500 0.6342
Zn4 0.3238 0.2500 0.1342
Zn5 0.3273 0.5310 0.0978
Zn6 0.3273 0.9690 0.0978
Zn7 0.6727 0.0310 0.9022
Zn8 0.6727 0.4690 0.9022
Zn9 0.6762 0.7500 0.8658
Zn10 0.8238 0.2500 0.3658
Zn11 0.8273 0.5310 0.4022
Zn12 0.8273 0.9690 0.4022
Ir1 0.1221 0.6144 0.3773
Ir2 0.1221 0.8856 0.3773
Ir3 0.3779 0.1144 0.8773
Ir4 0.3779 0.3856 0.8773
Ir5 0.6221 0.6144 0.1227
Ir6 0.6221 0.8856 0.1227
Ir7 0.8779 0.1144 0.6227
Ir8 0.8779 0.3856 0.6227
```

The volume is 20.691 Å³/atom. As for the total energy: -0.4202 Ry per atom. Its space group is Pnma (62).